1.
This record from Alexandria via LeMat-Bulk describes crystalline AcCeYHo at its relaxed geometry. The functional is PBE.

a b c (Å): 5.835 5.835 5.835
angles (deg): 60.00 60.00 60.00
Site moments in Bohr magnetons follow the coordinates.
Fractional positions:
Y: 0.000 0.000 0.000  -0.01
Ac: 0.750 0.750 0.750  -0.01
Ho: 0.500 0.500 0.500  -0.02
Ce: 0.250 0.250 0.250  0.71

## Properties
E_tot = -5.09 eV/atom
ΔH_f (0 K) = 17.3 kJ per mole of atoms

---

2.
This record from Alexandria via LeMat-Bulk describes crystalline Ac2CeI8 at its relaxed geometry. The functional is PBE.

a b c (Å): 6.760 10.192 10.192
angles (deg): 71.68 89.15 89.15
Site moments in Bohr magnetons follow the coordinates.
Fractional positions:
Ac: 0.292 0.209 0.209  0.07
Ac: 0.708 0.791 0.791  0.07
Ce: 0.000 0.000 0.000  1.32
I: 0.748 0.118 0.721  -0.01
I: 0.252 0.279 0.882  -0.01
I: 0.786 0.183 0.183  0.00
I: 0.214 0.817 0.817  0.00
I: 0.748 0.721 0.118  -0.01
I: 0.252 0.882 0.279  -0.01
I: 0.244 0.394 0.394  0.00
I: 0.756 0.606 0.606  0.00

## Properties
formation energy (no corrections) = -1.27 eV/atom
E_tot = -3.68 eV/atom

---

3.
This record from Alexandria via LeMat-Bulk describes crystalline AcCeI at its relaxed geometry. The functional is PBE.

a b c (Å): 3.802 6.202 10.345
angles (deg): 93.46 90.00 107.85
Site moments in Bohr magnetons follow the coordinates.
Fractional positions:
Ac: 0.149 0.299 0.716  0.02
Ac: 0.851 0.701 0.284  0.02
Ce: 0.110 0.220 0.046  0.88
Ce: 0.890 0.780 0.954  0.88
I: 0.128 0.256 0.374  0.00
I: 0.872 0.744 0.626  0.00

## Properties
formation energy (no corrections) = -0.33 eV/atom
E_tot = -4.19 eV/atom

---

4.
This record from Alexandria via LeMat-Bulk describes crystalline AcCeI6 at its relaxed geometry. The functional is PBE.

a b c (Å): 7.962 7.959 8.649
angles (deg): 62.58 62.60 59.99
Site moments in Bohr magnetons follow the coordinates.
Fractional positions:
Ac: 0.000 0.000 0.000  0.00
Ce: 0.500 0.500 0.500  1.00
I: 0.091 0.421 0.745  -0.01
I: 0.743 0.090 0.745  -0.01
I: 0.579 0.257 0.255  -0.01
I: 0.257 0.910 0.255  -0.01
I: 0.909 0.579 0.255  -0.01
I: 0.421 0.743 0.745  -0.01

## Properties
formation energy (no corrections) = -1.39 eV/atom
E_tot = -3.81 eV/atom

---

5.
This record from Alexandria via LeMat-Bulk describes crystalline AcCeIrI at its relaxed geometry. The functional is PBE.

a b c (Å): 4.267 4.268 8.772
angles (deg): 90.01 104.07 120.00
Site moments in Bohr magnetons follow the coordinates.
Fractional positions:
Ac: 0.514 0.155 0.684  0.03
Ce: 0.092 0.944 0.051  0.76
Ir: 0.316 0.556 0.888  -0.03
I: 0.956 0.376 0.347  0.00

## Properties
formation energy (no corrections) = -0.97 eV/atom
E_tot = -6.08 eV/atom

---

6.
This record from Alexandria via LeMat-Bulk describes crystalline AcCeIN2 at its relaxed geometry. The functional is PBE.

a b c (Å): 4.325 7.705 8.362
angles (deg): 106.83 90.00 90.00
Fractional positions:
Ac: 0.250 0.666 0.923
Ac: 0.750 0.334 0.077
Ce: 0.250 0.628 0.407
Ce: 0.750 0.372 0.593
I: 0.250 0.041 0.744
I: 0.750 0.959 0.256
N: 0.750 0.512 0.392
N: 0.250 0.488 0.608
N: 0.750 0.503 0.860
N: 0.250 0.497 0.140

## Properties
formation energy (no corrections) = -1.50 eV/atom
E_tot = -7.15 eV/atom

---

7.
This record from Alexandria via LeMat-Bulk describes crystalline AcCeI2N at its relaxed geometry. The functional is PBE.

a b c (Å): 4.422 4.422 16.081
angles (deg): 90.00 90.00 90.00
Site moments in Bohr magnetons follow the coordinates.
Fractional positions:
Ac: 0.500 0.000 0.573  -0.02
Ac: 0.000 0.500 0.427  -0.02
Ce: 0.500 0.000 0.082  1.02
Ce: 0.000 0.500 0.918  1.02
I: 0.000 0.500 0.718  -0.01
I: 0.000 0.500 0.118  -0.01
I: 0.500 0.000 0.882  -0.01
I: 0.500 0.000 0.282  -0.01
N: 0.000 0.000 0.500  -0.22
N: 0.500 0.500 0.500  -0.22

## Properties
formation energy (no corrections) = -1.10 eV/atom
E_tot = -5.40 eV/atom

---

8.
This record from Alexandria via LeMat-Bulk describes crystalline AcCe2IO8 at its relaxed geometry. The functional is PBE.

a b c (Å): 3.991 5.562 7.662
angles (deg): 90.00 90.00 90.00
Fractional positions:
Ac: 0.000 0.000 0.500
Ce: 0.500 0.500 0.753
Ce: 0.500 0.500 0.247
I: 0.000 0.000 0.000
O: 0.000 0.746 0.220
O: 0.500 0.769 0.000
O: 0.000 0.254 0.220
O: 0.000 0.254 0.780
O: 0.500 0.231 0.000
O: 0.000 0.746 0.780
O: 0.500 0.727 0.500
O: 0.500 0.273 0.500

## Properties
formation energy (no corrections) = -2.42 eV/atom
E_tot = -7.18 eV/atom

---

9.
This record from Alexandria via LeMat-Bulk describes crystalline AcCePI at its relaxed geometry. The functional is PBE.

a b c (Å): 4.256 4.256 8.478
angles (deg): 90.00 104.53 120.00
Site moments in Bohr magnetons follow the coordinates.
Fractional positions:
Ac: 0.504 0.150 0.669  -0.01
Ce: 0.101 0.948 0.065  0.93
P: 0.316 0.556 0.887  -0.01
I: 0.958 0.377 0.349  0.00

## Properties
formation energy (no corrections) = -1.26 eV/atom
E_tot = -5.51 eV/atom

---

10.
This record from Alexandria via LeMat-Bulk describes crystalline AcCePbI at its relaxed geometry. The functional is PBE.

a b c (Å): 5.734 5.734 5.734
angles (deg): 60.00 60.00 60.00
Site moments in Bohr magnetons follow the coordinates.
Fractional positions:
Pb: 0.500 0.500 0.500  -0.04
I: 0.000 0.000 0.000  -0.02
Ac: 0.750 0.750 0.750  0.14
Ce: 0.250 0.250 0.250  1.15

## Properties
formation energy (no corrections) = -0.62 eV/atom
E_tot = -4.45 eV/atom

---

11.
This record from Alexandria via LeMat-Bulk describes crystalline AcCePtI at its relaxed geometry. The functional is PBE.

a b c (Å): 4.356 4.356 8.740
angles (deg): 90.00 104.43 120.00
Site moments in Bohr magnetons follow the coordinates.
Fractional positions:
Ac: 0.512 0.154 0.681  0.03
Ce: 0.095 0.945 0.055  0.93
Pt: 0.314 0.555 0.885  0.00
I: 0.957 0.376 0.348  -0.01

## Properties
formation energy (no corrections) = -1.09 eV/atom
E_tot = -5.50 eV/atom

---

12.
This record from Alexandria via LeMat-Bulk describes crystalline AcCeRhI at its relaxed geometry. The functional is PBE.

a b c (Å): 4.228 4.226 8.804
angles (deg): 89.99 103.87 120.02
Site moments in Bohr magnetons follow the coordinates.
Fractional positions:
Ac: 0.511 0.153 0.680  0.02
Ce: 0.094 0.945 0.053  0.84
Rh: 0.316 0.556 0.887  -0.05
I: 0.957 0.377 0.349  0.00

## Properties
formation energy (no corrections) = -0.92 eV/atom
E_tot = -5.65 eV/atom

---

13.
This record from Alexandria via LeMat-Bulk describes crystalline AcCeTe2I at its relaxed geometry. The functional is PBE.

a b c (Å): 4.784 4.784 15.632
angles (deg): 90.00 90.00 90.00
Site moments in Bohr magnetons follow the coordinates.
Fractional positions:
Ac: 0.500 0.000 0.096  -0.01
Ac: 0.000 0.500 0.904  -0.01
Ce: 0.500 0.000 0.649  1.12
Ce: 0.000 0.500 0.351  1.12
Te: 0.000 0.500 0.696  -0.02
Te: 0.000 0.500 0.124  0.00
Te: 0.500 0.000 0.876  0.00
Te: 0.500 0.000 0.304  -0.02
I: 0.000 0.000 0.500  -0.02
I: 0.500 0.500 0.500  -0.02

## Properties
formation energy (no corrections) = -1.27 eV/atom
E_tot = -4.85 eV/atom

---

14.
This record from Alexandria via LeMat-Bulk describes crystalline AcCeTlI at its relaxed geometry. The functional is PBE.

a b c (Å): 5.710 5.710 5.710
angles (deg): 60.00 60.00 60.00
Site moments in Bohr magnetons follow the coordinates.
Fractional positions:
I: 0.500 0.500 0.500  -0.02
Ac: 0.750 0.750 0.750  0.04
Tl: 0.000 0.000 0.000  -0.03
Ce: 0.250 0.250 0.250  0.92

## Properties
formation energy (no corrections) = -0.46 eV/atom
E_tot = -3.95 eV/atom

---

15.
This record from Alexandria via LeMat-Bulk describes crystalline AcCe5In6 at its relaxed geometry. The functional is PBE.

a b c (Å): 4.903 9.465 9.095
angles (deg): 121.36 105.59 89.99
Site moments in Bohr magnetons follow the coordinates.
Fractional positions:
Ac: 0.000 0.000 0.000  0.07
Ce: 0.672 0.173 0.345  0.83
Ce: 0.333 0.333 0.666  0.88
Ce: 0.000 0.500 0.000  0.89
Ce: 0.667 0.667 0.334  0.88
Ce: 0.328 0.827 0.655  0.83
In: 0.831 0.579 0.662  -0.01
In: 0.831 0.083 0.662  -0.01
In: 0.500 0.744 0.000  -0.01
In: 0.500 0.256 0.000  -0.01
In: 0.169 0.917 0.338  -0.01
In: 0.169 0.421 0.338  -0.01

## Properties
E_tot = -4.53 eV/atom
ΔH_f (0 K) = -33.5 kJ per mole of atoms

---

16.
This record from Alexandria via LeMat-Bulk describes crystalline AcCeIn4 at its relaxed geometry. The functional is PBE.

a b c (Å): 6.211 6.211 6.211
angles (deg): 60.00 60.00 60.00
Site moments in Bohr magnetons follow the coordinates.
Fractional positions:
Ac: 0.250 0.250 0.250  0.06
Ce: 0.000 0.000 0.000  0.97
In: 0.625 0.625 0.124  0.00
In: 0.625 0.124 0.625  0.00
In: 0.625 0.625 0.625  0.00
In: 0.124 0.625 0.625  0.00

## Properties
E_tot = -3.86 eV/atom
polymorph energy (0 for the lowest one) = 0.032 eV/atom
ΔH_f (0 K) = -34.6 kJ per mole of atoms

---

17.
This record from Alexandria via LeMat-Bulk describes crystalline AcCeIn2 at its relaxed geometry. The functional is PBE.

a b c (Å): 5.015 7.273 7.650
angles (deg): 90.00 90.00 110.16
Site moments in Bohr magnetons follow the coordinates.
Fractional positions:
Ac: 0.940 0.879 0.250  0.00
Ac: 0.060 0.121 0.750  0.00
Ce: 0.778 0.556 0.750  0.80
Ce: 0.222 0.444 0.250  0.80
In: 0.392 0.784 0.558  -0.01
In: 0.608 0.216 0.442  -0.01
In: 0.392 0.784 0.942  -0.01
In: 0.608 0.216 0.058  -0.01

## Properties
E_tot = -4.22 eV/atom
ΔH_f (0 K) = -33.0 kJ per mole of atoms

---

18.
This record from Alexandria via LeMat-Bulk describes crystalline AcCeIn2 at its relaxed geometry. The functional is PBE.

a b c (Å): 3.889 3.889 10.557
angles (deg): 79.39 79.39 60.00
Site moments in Bohr magnetons follow the coordinates.
Fractional positions:
Ac: 0.500 0.500 0.500  -0.01
Ce: 0.000 0.000 0.000  0.83
In: 0.746 0.746 0.762  0.00
In: 0.254 0.254 0.238  0.00

## Properties
E_tot = -4.04 eV/atom
ΔH_f (0 K) = -15.9 kJ per mole of atoms

---

19.
This record from Alexandria via LeMat-Bulk describes crystalline AcCeIn3 at its relaxed geometry. The functional is PBE.

a b c (Å): 5.075 3.897 15.458
angles (deg): 97.24 90.00 90.00
Site moments in Bohr magnetons follow the coordinates.
Fractional positions:
Ac: 0.250 0.074 0.149  0.00
Ac: 0.750 0.926 0.851  0.00
Ce: 0.250 0.787 0.574  1.04
Ce: 0.750 0.213 0.426  1.04
In: 0.250 0.376 0.753  0.00
In: 0.750 0.624 0.247  0.00
In: 0.250 0.475 0.950  0.00
In: 0.750 0.525 0.050  0.00
In: 0.750 0.321 0.643  -0.01
In: 0.250 0.679 0.357  -0.01

## Properties
E_tot = -4.03 eV/atom
ΔH_f (0 K) = -36.3 kJ per mole of atoms

---

20.
This record from Alexandria via LeMat-Bulk describes crystalline Ac7CeIn4 at its relaxed geometry. The functional is PBE.

a b c (Å): 6.217 10.056 8.445
angles (deg): 74.43 68.40 71.99
Site moments in Bohr magnetons follow the coordinates.
Fractional positions:
Ac: 0.798 0.884 0.520  0.02
Ac: 0.202 0.116 0.480  0.02
Ac: 0.068 0.605 0.259  0.00
Ac: 0.932 0.395 0.741  0.00
Ac: 0.274 0.673 0.778  0.01
Ac: 0.500 0.000 0.000  0.13
Ac: 0.726 0.327 0.222  0.01
Ce: 0.000 0.000 0.000  1.10
In: 0.550 0.256 0.644  0.00
In: 0.450 0.744 0.356  0.00
In: 0.679 0.662 0.980  -0.01
In: 0.321 0.338 0.020  -0.01

## Properties
E_tot = -3.87 eV/atom
ΔH_f (0 K) = -6.3 kJ per mole of atoms